# 1
A plane-wave DFT calculation with PBE was carried out for an optimized crystal structure of TcNiOs2.

- E above lowest polymorph: 0.0268 eV per atom
- Formation energy: 0.122 eV/atom
- M_tot: 1.31 μB/cell
- VASP energy: -9.530 eV per atom

Cell lengths 2.7030, 2.7030, 26.0958 Å; angles 90.00, 90.00, 120.00 degrees
Closest atoms and distances in Å follow each position.
Space group R-3m (No. 166, hexagonal axes)
Asymmetric unit:
1 Tc 0.0000 0.0000 0.0000 [3 per cell]  6 Tc 2.70, 6 Os 2.72
2 Ni 0.0000 0.0000 0.5000 [3 per cell]  6 Os 2.64, 6 Ni 2.70
3 Os 0.0000 0.0000 0.2482 [6 per cell]  3 Ni 2.64, 6 Os 2.70, 3 Tc 2.72



# 2
A plane-wave DFT calculation with PBE was carried out for an optimized crystal structure of TcNiOs2.

- E above lowest polymorph: 1.2640 eV per atom
- Formation energy: 1.359 eV/atom
- M_tot: 0.00 μB/cell
- VASP energy: -8.292 eV per atom

Cell lengths 5.4366, 5.4366, 10.7070 Å; angles 90.00, 90.00, 90.00 degrees
Closest atoms and distances in Å follow each position.
Space group I-42d (No. 122)
Asymmetric unit:
1 Tc 0.0000 0.0000 0.0000 [4 per cell]  4 Os 2.39
2 Ni 0.0000 0.0000 0.5000 [4 per cell]  4 Os 2.29
3 Os 0.2339 0.2500 0.6250 [8 per cell]  2 Ni 2.29, 2 Tc 2.39



# 3
A plane-wave DFT calculation with PBE was carried out for an optimized crystal structure of TcNiOsW.

- Formation energy: 0.136 eV/atom
- M_tot: 0.00 μB/cell
- VASP energy: -9.947 eV per atom

Cell lengths 6.1047, 6.1047, 6.1047 Å; angles 90.00, 90.00, 90.00 degrees
Closest atoms and distances in Å follow each position.
Space group F-43m (No. 216)
Asymmetric unit:
1 Tc 0.0000 0.0000 0.0000 [4 per cell]  4 W 2.64, 4 Ni 2.64
2 Ni 0.2500 0.2500 0.7500 [4 per cell]  4 Tc 2.64, 4 Os 2.64
3 Os 0.0000 0.0000 0.5000 [4 per cell]  4 Ni 2.64, 4 W 2.64
4 W 0.2500 0.2500 0.2500 [4 per cell]  4 Tc 2.64, 4 Os 2.64



# 4
A plane-wave DFT calculation with PBE was carried out for an optimized crystal structure of ZrTcNiOs2.

- Formation energy: 2.231 eV/atom
- M_tot: 3.15 μB/cell
- VASP energy: -7.200 eV per atom

Cell lengths 4.7926, 4.7926, 4.4389 Å; angles 90.00, 90.00, 90.00 degrees
Closest atoms and distances in Å follow each position.
Space group P4/mmm (No. 123)
Asymmetric unit:
1 Zr 0.0000 0.0000 0.0000 [1 per cell]  2 Ni 2.22, 4 Os 2.40
2 Tc 0.5000 0.5000 0.5000 [1 per cell]  8 Os 3.27, 4 Ni 3.39
3 Ni 0.0000 0.0000 0.5000 [1 per cell]  2 Zr 2.22
4 Os 0.0000 0.5000 0.0000 [2 per cell]  2 Zr 2.40



# 5
A plane-wave DFT calculation with PBE was carried out for an optimized crystal structure of NiTeOs.

- Formation energy from raw total energies: 597 meV/atom
- E above lowest polymorph: 0.2026 eV per atom
- M_tot: 0.00 μB/cell
- VASP energy: -6.121 eV per atom

Cell lengths 3.2657, 3.2657, 8.7226 Å; angles 90.00, 90.00, 90.00 degrees
Closest atoms and distances in Å follow each position.
Space group I4mm (No. 107)
Asymmetric unit:
1 Ni 0.0000 0.0000 0.0000 [2 per cell]  4 Te 2.66, 5 Os 2.76-2.85
2 Te 0.0000 0.0000 0.6523 [2 per cell]  4 Ni 2.66, 5 Os 2.77-2.84
3 Os 0.0000 0.0000 0.3273 [2 per cell]  5 Ni 2.76-2.85, 5 Te 2.77-2.84



# 6
A plane-wave DFT calculation with PBE was carried out for an optimized crystal structure of NiTe3Os.

- Formation energy from raw total energies: 1185 meV/atom
- E above lowest polymorph: 0.0068 eV per atom
- M_tot: 0.00 μB/cell
- VASP energy: -4.102 eV per atom

Cell lengths 4.8430, 4.8430, 4.8430 Å; angles 90.00, 90.00, 90.00 degrees
Closest atoms and distances in Å follow each position.
Space group Pm-3m (No. 221)
Asymmetric unit:
1 Ni 0.0000 0.0000 0.0000 [1 per cell]  6 Te 2.42
2 Te 0.0000 0.0000 0.5000 [3 per cell]  2 Ni 2.42
3 Os 0.5000 0.5000 0.5000 [1 per cell]  12 Te 3.42



# 7
A plane-wave DFT calculation with PBE was carried out for an optimized crystal structure of NiTeOs.

- Formation energy from raw total energies: 962 meV/atom
- E above lowest polymorph: 0.5672 eV per atom
- M_tot: 5.36 μB/cell
- VASP energy: -5.756 eV per atom

Cell lengths 3.0522, 5.0699, 13.2827 Å; angles 90.00, 90.00, 90.00 degrees
Closest atoms and distances in Å follow each position.
Space group Fmm2 (No. 42)
Asymmetric unit:
1 Ni 0.0000 0.0000 0.0000 [4 per cell]  2 Os 2.45
2 Te 0.0000 0.0000 0.3272 [4 per cell]  2 Ni 2.76, 2 Os 2.87, 6 Te 2.96-3.05
3 Os 0.0000 0.0000 0.6441 [4 per cell]  2 Ni 2.45



# 8
A plane-wave DFT calculation with PBE was carried out for an optimized crystal structure of NiTe2Os.

- Formation energy from raw total energies: 461 meV/atom
- E above lowest polymorph: 0.2638 eV per atom
- M_tot: 0.00 μB/cell
- VASP energy: -5.363 eV per atom

Cell lengths 3.4269, 3.4269, 22.1646 Å; angles 90.00, 90.00, 120.00 degrees
Closest atoms and distances in Å follow each position.
Space group R-3m (No. 166, hexagonal axes)
Asymmetric unit:
1 Ni 0.0000 0.0000 0.0000 [3 per cell]  6 Te 2.65
2 Te 0.0000 0.0000 0.2540 [6 per cell]  3 Ni 2.65, 3 Os 2.77
3 Os 0.0000 0.0000 0.5000 [3 per cell]  6 Te 2.77